Compound: In3SbCl
Source: Alexandria via LeMat-Bulk
Functional: PBE
Structure: optimized geometry

Unit cell a=5.5920 b=5.5920 c=5.5920 alpha=90.00 beta=90.00 gamma=90.00
Element x y z (fractional)
In 0.5000 0.0000 0.0000
In 0.0000 0.5000 0.0000
In 0.0000 0.0000 0.5000
Sb 0.5000 0.5000 0.5000
Cl 0.0000 0.0000 0.0000

* DOS(E_F): 4.274 states/eV per cell
* ΔE_f (raw): 0.14 eV/atom
* total moment: 0.000 Bohr magnetons per cell